# 1
Below is crystalline Cs2Cd3Hg5 at its relaxed geometry, with properties calculated at the PBE level.

a = 11.4400 Å, b = 15.0753 Å, c = 7.9003 Å
α = 90.00°, β = 90.00°, γ = 90.00°
Space group Ibam (No. 72)
Unique sites:
Cs  0.2439  0.1279  0.0000 [8 per cell]
Cd  0.0000  0.5000  0.2500 [4 per cell]
Cd  0.1106  0.1276  0.5000 [8 per cell]
Hg  0.0000  0.0000  0.2500 [4 per cell]
Hg  0.0000  0.2577  0.2500 [8 per cell]
Hg  0.1288  0.3832  0.0000 [8 per cell]

energy of formation from the pure elements: -15.09 kJ per mole of atoms
volume: 1362.5 Å³/cell
distance to the lowest polymorph of the same formula: 0.0 meV/atom

---

# 2
Below is crystalline NpCuTcO6 at its relaxed geometry, with properties calculated at the PBE level.

a = 5.3119 Å, b = 5.3119 Å, c = 8.9846 Å
α = 90.00°, β = 90.00°, γ = 120.00°
Space group P-31c (No. 163)
Unique sites:
Np  0.3333  0.6667  0.2500 [2 per cell]
Cu  0.0000  0.0000  0.0000 [2 per cell]
Tc  0.3333  0.6667  0.7500 [2 per cell]
O  0.0157  0.3529  0.6309 [12 per cell]

ΔE_f (raw): -15.64 eV/f.u.
volume: 219.6 Å³/cell